# PaBiB

An optimized crystal structure of PaBiB (PBE-GGA, the Open Quantum Materials Database).

abc: 4.5143 4.5143 4.5143
angles: 60.00 60.00 60.00
Last column: nearest neighbours and their distance in Å.
Fractional coordinates of all 3 atoms:
Pa1 0.7500 0.7500 0.7500  4 B 2.76
B1 0.0000 0.0000 0.0000  4 Pa 2.76, 4 Bi 2.76
Bi1 0.2500 0.2500 0.2500  4 B 2.76

Output
Energy above the lowest structure with this stoichiometry: 0.0 meV per atom
E_tot: -18.610 eV for the cell shown
Space group: F-43m, No. 216
V: 21.7 Å³/atom
Size of the total moment: 0.115 μB/atom

=====

# PaBiB

An optimized crystal structure of PaBiB (PBE-GGA, the Open Quantum Materials Database).

abc: 4.8141 4.8141 4.8141
angles: 60.00 60.00 60.00
Last column: nearest neighbours and their distance in Å.
Fractional coordinates of all 3 atoms:
B1 0.2500 0.2500 0.2500  4 Pa 2.95
Pa1 0.0000 0.0000 0.0000  4 B 2.95, 4 Bi 2.95
Bi1 0.7500 0.7500 0.7500  4 Pa 2.95

Output
Energy above the lowest structure with this stoichiometry: 524.4 meV per atom
E_tot: -17.037 eV for the cell shown
Space group: F-43m, No. 216
V: 26.3 Å³/atom
Size of the total moment: 0.150 μB/atom

=====

- Which of these has the lowest E_tot?
  number 1

=====

- Look up the energy above the lowest structure with this stoichiometry of the first one.
  0.0 meV per atom

=====

- Which of these has the lowest V?
  number 1